(1)
Below is crystalline BaCa3Ge at its relaxed geometry, with properties calculated at the GGA-PBE level.

a b c (Å): 5.959 5.959 5.959
angles (deg): 90.00 90.00 90.00
Space group Pm-3m (No. 221)
Unique sites:
Ba1 0.000 0.000 0.000
Ca1 0.000 0.000 0.500
Ge1 0.500 0.500 0.500

Computed properties:
magnetic moment	1.9	Bohr magnetons per cell
E_form	1.14	eV per atom
final energy	-0.1004	Ry per atom
density of states at the Fermi level	5.86	states/eV/f.u.



(2)
Below is crystalline AsIrCl2 at its relaxed geometry, with properties calculated at the GGA-PBE level.

a b c (Å): 6.474 6.474 6.474
angles (deg): 90.00 90.00 90.00
Space group F-43m (No. 216)
Unique sites:
As1 0.000 0.000 0.000
Ir1 0.250 0.250 0.750
Cl1 0.000 0.000 0.500
Cl2 0.250 0.250 0.250

Computed properties:
magnetic moment	0.0	Bohr magnetons per cell
final energy	-0.2703	Ry per atom
density of states at the Fermi level	1.99	states/eV/f.u.
formation energy (no corrections)	2.49	eV per formula unit